Entry 1:
VASP calculation (PBE) on a relaxed structure of Ni3OsS.

```
data_Ni3OsS
_space_group_name_H-M_alt 'P m -3 m'
_space_group_IT_number 221
_space_group_name_Hall '-P 4 2 3'
_cell_length_a 4.070
_cell_length_b 4.070
_cell_length_c 4.070
_cell_angle_alpha 90.00
_cell_angle_beta 90.00
_cell_angle_gamma 90.00
loop_
_atom_site_label
_atom_site_type_symbol
_atom_site_fract_x
_atom_site_fract_y
_atom_site_fract_z
Ni1 Ni 0.000 0.000 0.500
Os1 Os 0.500 0.500 0.500
S1 S 0.000 0.000 0.000
```

## Properties
- calculated total energy (eV per atom) = -5.894
- ΔE to the lowest computed polymorph (kJ per mole of atoms) = 0.0
- D(E_F) (states/eV/f.u.) = 5.563
- formation energy from raw total energies (eV per atom) = 0.646

---

Entry 2:
VASP calculation (PBE) on a relaxed structure of Ac5InOs.

```
data_Ac5InOs
_space_group_name_H-M_alt 'P 4/m m m'
_space_group_IT_number 123
_space_group_name_Hall '-P 4 2'
_cell_length_a 5.290
_cell_length_b 5.290
_cell_length_c 8.968
_cell_angle_alpha 90.00
_cell_angle_beta 90.00
_cell_angle_gamma 90.00
loop_
_atom_site_label
_atom_site_type_symbol
_atom_site_fract_x
_atom_site_fract_y
_atom_site_fract_z
Ac1 Ac 0.000 0.000 0.000
Ac2 Ac 0.000 0.500 0.303
In1 In 0.500 0.500 0.000
Os1 Os 0.000 0.000 0.500
```

## Properties
- formation energy from the elements (eV/atom) = -0.0537
- calculated total energy (eV per atom) = -4.984
- D(E_F) (states/eV/f.u.) = 6.336

---

Entry 3:
VASP calculation (PBE) on a relaxed structure of CaPuH8Rh2.

```
data_CaPuH8Rh2
_space_group_name_H-M_alt 'R -3 m'
_space_group_IT_number 166
_space_group_name_Hall '-R 3 2"'
_cell_length_a 4.7048
_cell_length_b 4.7048
_cell_length_c 18.6123
_cell_angle_alpha 90.00
_cell_angle_beta 90.00
_cell_angle_gamma 120.00
loop_
_atom_site_label
_atom_site_type_symbol
_atom_site_fract_x
_atom_site_fract_y
_atom_site_fract_z
Ca1 Ca 0.0000 0.0000 0.0000
Pu1 Pu 0.0000 0.0000 0.5000
H1 H 0.0000 0.0000 0.1308
H2 H 0.0038 0.5019 0.0597
Rh1 Rh 0.0000 0.0000 0.2218
```

## Properties
- calculated total energy (eV per atom) = -5.025
- D(E_F) (states/eV/f.u.) = 11.621

---

Entry 4:
VASP calculation (PBE) on a relaxed structure of LiZn2CdSe4.

```
data_LiZn2CdSe4
_space_group_name_H-M_alt 'F m m 2'
_space_group_IT_number 42
_space_group_name_Hall 'F 2 -2'
_cell_length_a 8.003
_cell_length_b 8.024
_cell_length_c 12.408
_cell_angle_alpha 90.00
_cell_angle_beta 90.00
_cell_angle_gamma 90.00
loop_
_atom_site_label
_atom_site_type_symbol
_atom_site_fract_x
_atom_site_fract_y
_atom_site_fract_z
Li1 Li 0.000 0.000 0.000
Zn1 Zn 0.250 0.250 0.250
Cd1 Cd 0.000 0.000 0.500
Se1 Se 0.000 0.239 0.133
Se2 Se 0.239 0.000 0.866
```

## Properties
- calculated total energy (eV per atom) = -3.060
- D(E_F) (states/eV/f.u.) = 5.439
- formation energy from raw total energies (eV per atom) = -0.646